Record 1
Density functional theory data (PBE) for a relaxed structure of Zr2NbTc.

Unit cell a=3.297 b=3.297 c=7.065 alpha=90.00 beta=90.00 gamma=90.00
Element x y z (fractional)
Zr 0.000 0.000 0.228
Zr 0.000 0.000 0.772
Nb 0.500 0.500 0.500
Tc 0.500 0.500 0.000

Computed properties:
The calculated total energy comes out at -38.1 eV/f.u. Its space-group type is P4/mmm, No. 123. The value obtained for the size of the total moment is 0.000 μB/atom. As for the volume: 76.8 Å³/cell. The calculation puts the formation energy at -0.13 eV/atom. The value obtained for the distance to the lowest polymorph of the same formula is 0.000 eV/atom.



Record 2
Density functional theory data (PBE) for a relaxed structure of Be2BS.

Unit cell a=5.402 b=5.402 c=5.402 alpha=125.00 beta=125.00 gamma=81.54
Element x y z (fractional)
Be 0.121 0.625 0.996
Be 0.375 0.371 0.496
Be 0.629 0.125 0.004
Be 0.875 0.879 0.504
B 0.000 0.000 0.000
B 0.750 0.250 0.500
S 0.250 0.750 0.500
S 0.500 0.500 0.000

Computed properties:
The uncorrected formation energy comes out at 1.61 eV per formula unit. The calculated total energy comes out at -16.6 eV/f.u. Its space-group type is I-42d, No. 122. The value obtained for the size of the total moment is 0.000 μB/atom. As for the volume: 101.8 Å³/cell. The value obtained for the distance to the lowest polymorph of the same formula is 0.755 eV/atom.